The following is a PBE calculation of a relaxed structure of CaTbSm2Se4, from Alexandria via LeMat-Bulk.

Cell: 7.189 4.131 7.229 Å, 90.00 109.07 90.00°
Space group P2/m (No. 10)
Unique sites:
1 Ca 0.000 0.000 0.000 x1
2 Tb 0.500 0.500 0.000 x1
3 Sm 0.000 0.500 0.500 x1
4 Sm 0.500 0.000 0.500 x1
5 Se 0.249 0.500 0.244 x2
6 Se 0.252 0.000 0.757 x2

## Properties
Total magnetic moment ... 0.000 Bohr magnetons per cell
Uncorrected formation energy ... -1.846 eV per atom
DOS(E_F) ... 0.373 states/eV/atom
Electronic total energy ... -5.5968 eV per atom